First-principles (GGA-PBE) data for crystalline LaPmSi2Pt5 at its relaxed geometry, as listed in Alexandria via LeMat-Bulk.

Output
Space-group type ... No. 123
Formation energy (no corrections) ... -897 kJ/mol of formula units
Crystal system ... tetragonal
Total magnetic moment ... 0.000 μB per atom
DFT total energy ... -6.67 eV/atom

Unit cell a=4.2954 b=4.2954 c=9.0160 alpha=90.00 beta=90.00 gamma=90.00
Element x y z (fractional)
La1 0.0000 0.0000 0.5000
Pm1 0.0000 0.0000 0.0000
Si1 0.5000 0.5000 0.1341
Si2 0.5000 0.5000 0.8659
Pt1 0.0000 0.5000 0.2599
Pt2 0.5000 0.0000 0.2599
Pt3 0.0000 0.5000 0.7401
Pt4 0.5000 0.0000 0.7401
Pt5 0.5000 0.5000 0.5000

***

First-principles (GGA-PBE) data for crystalline Ba3Te at its relaxed geometry, as listed in Alexandria via LeMat-Bulk.

Output
Space-group type ... No. 166
Energy relative to the lowest polymorph listed for this composition ... 115.0 kJ/mol of formula units
Formation energy (no corrections) ... -185 kJ/mol of formula units
Crystal system ... trigonal
Total magnetic moment ... 0.000 μB per atom
DFT total energy ... -2.71 eV/atom

Unit cell a=7.1933 b=7.1933 c=7.1933 alpha=116.06 beta=116.06 gamma=116.06
Element x y z (fractional)
Ba1 0.0000 0.0000 0.0000
Ba2 0.0000 0.5000 0.5000
Ba3 0.5000 0.0000 0.5000
Te1 0.5000 0.5000 0.0000

***

First-principles (GGA-PBE) data for crystalline Nd5Ho3As12 at its relaxed geometry, as listed in Alexandria via LeMat-Bulk.

Output
Space-group type ... No. 230
Crystal system ... cubic
Total magnetic moment ... 0.000 μB per atom
DFT total energy ... -5.33 eV/atom

Unit cell a=14.6133 b=14.6133 c=14.6133 alpha=109.47 beta=109.47 gamma=109.47
Element x y z (fractional)
Ho1 0.7500 0.3750 0.1250
Ho2 0.8750 0.7500 0.1250
Ho3 0.3750 0.7500 0.6250
Ho4 0.2500 0.1250 0.3750
Ho5 0.8750 0.1250 0.2500
Ho6 0.3750 0.6250 0.2500
Ho7 0.6250 0.3750 0.7500
Ho8 0.1250 0.8750 0.7500
Ho9 0.7500 0.8750 0.6250
Ho10 0.6250 0.2500 0.3750
Ho11 0.1250 0.2500 0.8750
Ho12 0.2500 0.6250 0.8750
Nd1 0.1250 0.3750 0.2500
Nd2 0.0000 0.5000 0.0000
Nd3 0.0000 0.0000 0.0000
Nd4 0.3750 0.2500 0.1250
Nd5 0.5000 0.0000 0.5000
Nd6 0.5000 0.5000 0.0000
Nd7 0.1250 0.7500 0.3750
Nd8 0.7500 0.1250 0.8750
Nd9 0.7500 0.6250 0.3750
Nd10 0.3750 0.1250 0.7500
Nd11 0.6250 0.8750 0.2500
Nd12 0.5000 0.5000 0.5000
Nd13 0.5000 0.0000 0.0000
Nd14 0.0000 0.0000 0.5000
Nd15 0.2500 0.3750 0.6250
Nd16 0.2500 0.8750 0.1250
Nd17 0.0000 0.5000 0.5000
Nd18 0.8750 0.2500 0.6250
Nd19 0.6250 0.7500 0.8750
Nd20 0.8750 0.6250 0.7500
As1 0.7515 0.1563 0.0784
As2 0.3269 0.5784 0.4221
As3 0.9216 0.3437 0.2485
As4 0.5784 0.2515 0.1563
As5 0.5952 0.7515 0.6731
As6 0.9216 0.5779 0.1731
As7 0.3269 0.7485 0.4048
As8 0.0779 0.9048 0.1563
As9 0.5779 0.9216 0.6731
As10 0.7515 0.5952 0.1731
As11 0.7485 0.4216 0.3437
As12 0.8269 0.9221 0.0784
As13 0.1563 0.7515 0.5784
As14 0.3437 0.4221 0.0952
As15 0.0952 0.9221 0.3437
As16 0.4048 0.1563 0.5779
As17 0.0952 0.1731 0.2515
As18 0.4216 0.6731 0.0779
As19 0.8269 0.9048 0.2485
As20 0.1563 0.4048 0.0779
As21 0.3437 0.9216 0.7485
As22 0.5779 0.6563 0.4048
As23 0.9221 0.8269 0.5784
As24 0.7485 0.3269 0.9048
As25 0.4221 0.3437 0.5952
As26 0.0779 0.1731 0.4216
As27 0.2515 0.6731 0.0952
As28 0.1731 0.0952 0.7515
As29 0.6563 0.0784 0.2515
As30 0.8437 0.5952 0.9221
As31 0.5784 0.3269 0.9221
As32 0.5952 0.8437 0.4221
As33 0.9048 0.8269 0.7485
As34 0.9048 0.0779 0.6563
As35 0.8437 0.2485 0.4216
As36 0.1731 0.0779 0.9216
As37 0.6563 0.5779 0.9048
As38 0.4221 0.0784 0.3269
As39 0.2485 0.4048 0.8269
As40 0.2515 0.5784 0.6563
As41 0.9221 0.0952 0.8437
As42 0.6731 0.2515 0.5952
As43 0.4216 0.7485 0.8437
As44 0.0784 0.4221 0.8269
As45 0.4048 0.2485 0.3269
As46 0.0784 0.6563 0.7515
As47 0.6731 0.4216 0.5779
As48 0.2485 0.8437 0.9216

***

First-principles (GGA-PBE) data for crystalline Sb2TePb at its relaxed geometry, as listed in Alexandria via LeMat-Bulk.

Output
Space-group type ... No. 123
Energy relative to the lowest polymorph listed for this composition ... 123.1 kJ/mol of formula units
Formation energy (no corrections) ... 68 kJ/mol of formula units
Crystal system ... tetragonal
Total magnetic moment ... 0.000 μB per atom
DFT total energy ... -3.60 eV/atom

Unit cell a=3.8032 b=3.8032 c=7.9991 alpha=90.00 beta=90.00 gamma=90.00
Element x y z (fractional)
Pb1 0.5000 0.5000 0.7500
Sb1 0.0000 0.0000 0.0135
Sb2 0.0000 0.0000 0.4865
Te1 0.5000 0.5000 0.2500

***

First-principles (GGA-PBE) data for crystalline AcMgS2 at its relaxed geometry, as listed in Alexandria via LeMat-Bulk.

Output
Space-group type ... No. 166
Formation energy (no corrections) ... -608 kJ/mol of formula units
Crystal system ... trigonal
Total magnetic moment ... 0.000 μB per atom
DFT total energy ... -5.06 eV/atom

Unit cell a=3.9192 b=3.9192 c=7.2906 alpha=74.41 beta=74.41 gamma=60.00
Element x y z (fractional)
Mg1 0.0000 0.0000 0.0000
Ac1 0.5000 0.5000 0.5000
S1 0.2652 0.2652 0.2043
S2 0.7348 0.7348 0.7957

***

First-principles (GGA-PBE) data for crystalline La8Ho2Sc3 at its relaxed geometry, as listed in Alexandria via LeMat-Bulk.

Output
Space-group type ... No. 12
Crystal system ... monoclinic
Total magnetic moment ... 0.000 μB per atom
DFT total energy ... -5.02 eV/atom

Unit cell a=5.9950 b=8.8533 c=8.8533 alpha=82.77 beta=74.37 gamma=74.37
Element x y z (fractional)
La1 0.2124 0.5553 0.5553
La2 0.7876 0.4447 0.4447
La3 0.9089 0.1401 0.1401
La4 0.0911 0.8599 0.8599
La5 0.6396 0.6019 0.0888
La6 0.6396 0.0888 0.6019
La7 0.3604 0.9112 0.3981
La8 0.3604 0.3981 0.9112
Ho1 0.3394 0.2974 0.2974
Ho2 0.6606 0.7026 0.7026
Sc1 0.5000 0.0000 0.0000
Sc2 0.0000 0.2581 0.7419
Sc3 0.0000 0.7419 0.2581

***

First-principles (GGA-PBE) data for crystalline Rb2Ba2Br at its relaxed geometry, as listed in Alexandria via LeMat-Bulk.

Output
Space-group type ... No. 127
Formation energy (no corrections) ... -232 kJ/mol of formula units
Crystal system ... tetragonal
Total magnetic moment ... 0.021 μB per atom
DFT total energy ... -1.97 eV/atom

Unit cell a=9.0276 b=9.0276 c=8.3524 alpha=90.00 beta=90.00 gamma=90.00
Element x y z (fractional)
Br1 0.0000 0.0000 0.0000
Br2 0.5000 0.5000 0.0000
Ba1 0.3278 0.8278 0.0000
Ba2 0.8278 0.6722 0.0000
Ba3 0.6722 0.1722 0.0000
Ba4 0.1722 0.3278 0.0000
Rb1 0.1666 0.6666 0.5000
Rb2 0.6666 0.8334 0.5000
Rb3 0.8334 0.3334 0.5000
Rb4 0.3334 0.1666 0.5000

***

First-principles (GGA-PBE) data for crystalline Rb3PbO3 at its relaxed geometry, as listed in Alexandria via LeMat-Bulk.

Output
Space-group type ... No. 160
Energy relative to the lowest polymorph listed for this composition ... 17.3 kJ/mol of formula units
Formation energy (no corrections) ... -743 kJ/mol of formula units
Crystal system ... trigonal
Total magnetic moment ... 0.124 μB per atom
DFT total energy ... -4.17 eV/atom

Unit cell a=4.4483 b=7.1694 c=7.1694 alpha=115.84 beta=101.94 gamma=101.94
Element x y z (fractional)
Rb1 0.4791 0.4650 0.4650
Rb2 0.0141 0.0000 0.5350
Rb3 0.0141 0.5350 0.0000
Pb1 0.4952 0.0000 0.0000
O1 0.1325 0.7125 0.7125
O2 0.4200 0.0000 0.2875
O3 0.4200 0.2875 0.0000

***

First-principles (GGA-PBE) data for crystalline Hg2SbPt at its relaxed geometry, as listed in Alexandria via LeMat-Bulk.

Output
Space-group type ... No. 122
Formation energy (no corrections) ... 66 kJ/mol of formula units
Crystal system ... tetragonal
Total magnetic moment ... 0.000 μB per atom
DFT total energy ... -2.52 eV/atom

Unit cell a=8.2271 b=8.2271 c=6.4508 alpha=50.38 beta=50.38 gamma=90.00
Element x y z (fractional)
Sb1 0.5000 0.5000 0.0000
Sb2 0.2500 0.7500 0.5000
Hg1 0.6550 0.1250 0.2500
Hg2 0.0950 0.6250 0.2500
Hg3 0.3750 0.3450 0.7500
Hg4 0.8750 0.9050 0.7500
Pt1 0.0000 0.0000 0.0000
Pt2 0.7500 0.2500 0.5000

***

First-principles (GGA-PBE) data for crystalline PuTh2PaAs4 at its relaxed geometry, as listed in Alexandria via LeMat-Bulk.

Output
Space-group type ... No. 10
Crystal system ... monoclinic
Total magnetic moment ... 0.684 μB per atom
DFT total energy ... -8.39 eV/atom

Unit cell a=4.1934 b=7.2439 c=7.2598 alpha=70.48 beta=90.00 gamma=90.00
Element x y z (fractional)
Pu1 0.5000 0.5000 0.0000
Th1 0.0000 0.0000 0.0000
Th2 0.5000 0.0000 0.5000
Pa1 0.0000 0.5000 0.5000
As1 0.0000 0.7402 0.7505
As2 0.0000 0.2598 0.2495
As3 0.5000 0.7389 0.2560
As4 0.5000 0.2611 0.7440

***

First-principles (GGA-PBE) data for crystalline BAsO4 at its relaxed geometry, as listed in Alexandria via LeMat-Bulk.

Output
Space-group type ... No. 112
Energy relative to the lowest polymorph listed for this composition ... 102.8 kJ/mol of formula units
Formation energy (no corrections) ... -861 kJ/mol of formula units
Crystal system ... tetragonal
Total magnetic moment ... 0.000 μB per atom
DFT total energy ... -6.68 eV/atom

Unit cell a=4.1763 b=4.1763 c=7.3346 alpha=90.00 beta=90.00 gamma=90.00
Element x y z (fractional)
B1 0.0000 0.0000 0.0000
B2 0.0000 0.0000 0.5000
As1 0.0000 0.5000 0.2500
As2 0.5000 0.0000 0.7500
O1 0.2336 0.1988 0.8923
O2 0.7664 0.8012 0.8923
O3 0.1988 0.2336 0.3923
O4 0.2336 0.8012 0.6077
O5 0.7664 0.1988 0.6077
O6 0.1988 0.7664 0.1077
O7 0.8012 0.2336 0.1077
O8 0.8012 0.7664 0.3923

***

First-principles (GGA-PBE) data for crystalline CeNiBi at its relaxed geometry, as listed in Alexandria via LeMat-Bulk.

Output
Space-group type ... No. 12
Crystal system ... monoclinic
Total magnetic moment ... 0.262 μB per atom
DFT total energy ... -5.65 eV/atom

Unit cell a=4.5803 b=4.7468 c=6.7701 alpha=90.57 beta=109.77 gamma=90.00
Element x y z (fractional)
Ni1 0.7592 0.2330 0.5185
Ni2 0.2408 0.7670 0.4815
Ce1 0.3841 0.2517 0.7682
Ce2 0.6159 0.7483 0.2318
Bi1 0.1178 0.2540 0.2357
Bi2 0.8822 0.7460 0.7643

***

First-principles (GGA-PBE) data for crystalline TbNp2In9 at its relaxed geometry, as listed in Alexandria via LeMat-Bulk.

Output
Space-group type ... No. 123
Crystal system ... tetragonal
Total magnetic moment ... 0.714 μB per atom
DFT total energy ... -4.74 eV/atom

Unit cell a=4.6362 b=4.6362 c=13.9595 alpha=90.00 beta=90.00 gamma=90.00
Element x y z (fractional)
Tb1 0.0000 0.0000 0.0000
Np1 0.0000 0.0000 0.3322
Np2 0.0000 0.0000 0.6678
In1 0.5000 0.5000 0.0000
In2 0.5000 0.5000 0.3342
In3 0.5000 0.5000 0.6658
In4 0.5000 0.0000 0.1672
In5 0.5000 0.0000 0.5000
In6 0.5000 0.0000 0.8328
In7 0.0000 0.5000 0.1672
In8 0.0000 0.5000 0.5000
In9 0.0000 0.5000 0.8328

***

First-principles (GGA-PBE) data for crystalline PmSn3Se6 at its relaxed geometry, as listed in Alexandria via LeMat-Bulk.

Output
Space-group type ... No. 11
Formation energy (no corrections) ... -693 kJ/mol of formula units
Crystal system ... monoclinic
Total magnetic moment ... 0.000 μB per atom
DFT total energy ... -4.49 eV/atom

Unit cell a=4.0699 b=12.1802 c=12.0845 alpha=113.30 beta=90.00 gamma=90.00
Element x y z (fractional)
Pm1 0.7500 0.0568 0.7116
Pm2 0.2500 0.9432 0.2884
Sn1 0.7500 0.4734 0.8520
Sn2 0.2500 0.5266 0.1480
Sn3 0.7500 0.7123 0.4493
Sn4 0.2500 0.2877 0.5507
Sn5 0.7500 0.1619 0.1227
Sn6 0.2500 0.8381 0.8773
Se1 0.7500 0.4598 0.6192
Se2 0.2500 0.5402 0.3808
Se3 0.7500 0.9304 0.0922
Se4 0.2500 0.0696 0.9078
Se5 0.7500 0.3538 0.0602
Se6 0.2500 0.6462 0.9398
Se7 0.7500 0.7488 0.2429
Se8 0.2500 0.2512 0.7571
Se9 0.7500 0.0965 0.4746
Se10 0.2500 0.9035 0.5254
Se11 0.7500 0.8001 0.7175
Se12 0.2500 0.1999 0.2825

***

First-principles (GGA-PBE) data for crystalline LiCd3Hg7 at its relaxed geometry, as listed in Alexandria via LeMat-Bulk.

Output
Space-group type ... No. 12
Energy relative to the lowest polymorph listed for this composition ... 23.4 kJ/mol of formula units
Crystal system ... monoclinic
Total magnetic moment ... 0.000 μB per atom
DFT total energy ... -0.63 eV/atom

Unit cell a=5.5719 b=7.7167 c=7.7167 alpha=91.10 beta=111.28 gamma=111.28
Element x y z (fractional)
Li1 0.5000 0.5000 0.5000
Cd1 0.0000 0.7669 0.2331
Cd2 0.5000 0.0000 0.0000
Cd3 0.0000 0.2331 0.7669
Hg1 0.1776 0.1922 0.1922
Hg2 0.3367 0.0814 0.5870
Hg3 0.6633 0.4130 0.9186
Hg4 0.3367 0.5870 0.0814
Hg5 0.0000 0.5000 0.5000
Hg6 0.6633 0.9186 0.4130
Hg7 0.8224 0.8078 0.8078

***

First-principles (GGA-PBE) data for crystalline ZnCd2As at its relaxed geometry, as listed in Alexandria via LeMat-Bulk.

Output
Space-group type ... No. 65
Energy relative to the lowest polymorph listed for this composition ... 32.6 kJ/mol of formula units
Crystal system ... orthorhombic
Total magnetic moment ... 0.000 μB per atom
DFT total energy ... -1.77 eV/atom

Unit cell a=3.0560 b=3.0560 c=8.7277 alpha=90.00 beta=90.00 gamma=90.47
Element x y z (fractional)
As1 0.5000 0.5000 0.7500
Cd1 0.0000 0.0000 0.0151
Cd2 0.0000 0.0000 0.4849
Zn1 0.5000 0.5000 0.2500

***

First-principles (GGA-PBE) data for crystalline UNi6Pt6 at its relaxed geometry, as listed in Alexandria via LeMat-Bulk.

Output
Space-group type ... No. 71
Crystal system ... orthorhombic
Total magnetic moment ... 0.244 μB per atom
DFT total energy ... -6.61 eV/atom

Unit cell a=4.9691 b=6.5943 c=6.5943 alpha=82.74 beta=67.87 gamma=67.87
Element x y z (fractional)
U1 0.0000 0.0000 0.0000
Ni1 0.0000 0.5000 0.0000
Ni2 0.5000 0.5000 0.0000
Ni3 0.0000 0.0000 0.5000
Ni4 0.5000 0.0000 0.5000
Ni5 0.5000 0.7630 0.2370
Ni6 0.5000 0.2370 0.7630
Pt1 0.3391 0.6609 0.6609
Pt2 0.6609 0.3391 0.3391
Pt3 0.0000 0.3389 0.6611
Pt4 0.0000 0.6611 0.3389
Pt5 0.3138 0.1862 0.1862
Pt6 0.6862 0.8138 0.8138

***

First-principles (GGA-PBE) data for crystalline Tb2Al3Pt4Au at its relaxed geometry, as listed in Alexandria via LeMat-Bulk.

Output
Space-group type ... No. 115
Crystal system ... tetragonal
Total magnetic moment ... 0.000 μB per atom
DFT total energy ... -5.81 eV/atom

Unit cell a=4.0303 b=4.0303 c=11.6657 alpha=90.00 beta=90.00 gamma=90.00
Element x y z (fractional)
Tb1 0.5000 0.0000 0.2567
Tb2 0.0000 0.5000 0.7433
Al1 0.0000 0.0000 0.5000
Al2 0.5000 0.0000 0.8742
Al3 0.0000 0.5000 0.1258
Pt1 0.5000 0.5000 0.0000
Pt2 0.0000 0.0000 0.0000
Pt3 0.5000 0.0000 0.6654
Pt4 0.0000 0.5000 0.3346
Au1 0.5000 0.5000 0.5000

***

First-principles (GGA-PBE) data for crystalline TiSnS2 at its relaxed geometry, as listed in Alexandria via LeMat-Bulk.

Output
Space-group type ... No. 14
Formation energy (no corrections) ... -242 kJ/mol of formula units
Crystal system ... monoclinic
Total magnetic moment ... 0.000 μB per atom
DFT total energy ... -5.66 eV/atom

Unit cell a=15.2349 b=4.4764 c=6.5229 alpha=90.00 beta=132.55 gamma=90.00
Element x y z (fractional)
S1 0.9403 0.8179 0.7826
S2 0.0597 0.1821 0.2174
S3 0.5597 0.3179 0.7174
S4 0.4403 0.6821 0.2826
S5 0.1310 0.6629 0.7258
S6 0.8690 0.3371 0.2742
S7 0.3690 0.1629 0.7742
S8 0.6310 0.8371 0.2258
Sn1 0.2540 0.1530 0.0526
Sn2 0.7460 0.8470 0.9474
Sn3 0.2460 0.6530 0.4474
Sn4 0.7540 0.3470 0.5526
Ti1 0.5046 0.1504 0.2812
Ti2 0.4954 0.8496 0.7188
Ti3 0.9954 0.6504 0.2188
Ti4 0.0046 0.3496 0.7812

***

First-principles (GGA-PBE) data for crystalline LaInHgBi at its relaxed geometry, as listed in Alexandria via LeMat-Bulk.

Output
Space-group type ... No. 47
Energy relative to the lowest polymorph listed for this composition ... 0.0 kJ/mol of formula units
Crystal system ... orthorhombic
Total magnetic moment ... 0.000 μB per atom
DFT total energy ... -3.49 eV/atom

Unit cell a=4.6591 b=4.8126 c=5.1243 alpha=90.00 beta=90.00 gamma=90.00
Element x y z (fractional)
La1 0.0000 0.5000 0.5000
In1 0.0000 0.0000 0.0000
Hg1 0.5000 0.5000 0.0000
Bi1 0.5000 0.0000 0.5000